# K4MoPb, optimized geometry, DFT GGA-PBE
data_K4MoPb
_space_group_name_H-M_alt 'F -4 3 m'
_space_group_IT_number 216
_space_group_name_Hall 'F -4 2 3'
_cell_length_a 9.934
_cell_length_b 9.934
_cell_length_c 9.934
_cell_angle_alpha 90.00
_cell_angle_beta 90.00
_cell_angle_gamma 90.00
loop_
_atom_site_label
_atom_site_fract_x
_atom_site_fract_y
_atom_site_fract_z
K1 0.125 0.125 0.125
Mo1 0.250 0.250 0.750
Pb1 0.000 0.000 0.500
# Energy of formation from the pure elements = 92.4 kJ per mole of atoms

***

ZrCo2HIr | GGA-PBE | optimized geometry

```
data_ZrCo2HIr
_space_group_name_H-M_alt 'P 4/m m m'
_space_group_IT_number 123
_space_group_name_Hall '-P 4 2'
_cell_length_a 3.786
_cell_length_b 3.786
_cell_length_c 4.049
_cell_angle_alpha 90.00
_cell_angle_beta 90.00
_cell_angle_gamma 90.00
loop_
_atom_site_label
_atom_site_fract_x
_atom_site_fract_y
_atom_site_fract_z
Zr1 0.000 0.000 0.000
Co1 0.000 0.500 0.500
H1 0.000 0.000 0.500
Ir1 0.500 0.500 0.000
```

***

# TlHg4Bi, optimized geometry, DFT GGA-PBE
data_TlHg4Bi
_space_group_name_H-M_alt 'F -4 3 m'
_space_group_IT_number 216
_space_group_name_Hall 'F -4 2 3'
_cell_length_a 8.788
_cell_length_b 8.788
_cell_length_c 8.788
_cell_angle_alpha 90.00
_cell_angle_beta 90.00
_cell_angle_gamma 90.00
loop_
_atom_site_label
_atom_site_fract_x
_atom_site_fract_y
_atom_site_fract_z
Tl1 0.000 0.000 0.000
Hg1 0.125 0.125 0.625
Bi1 0.250 0.250 0.250
# Energy of formation from the pure elements = 11.1 kJ per mole of atoms

***

# LiCaRh, optimized geometry, DFT GGA-PBE
data_LiCaRh
_space_group_name_H-M_alt 'F -4 3 m'
_space_group_IT_number 216
_space_group_name_Hall 'F -4 2 3'
_cell_length_a 6.194
_cell_length_b 6.194
_cell_length_c 6.194
_cell_angle_alpha 90.00
_cell_angle_beta 90.00
_cell_angle_gamma 90.00
loop_
_atom_site_label
_atom_site_fract_x
_atom_site_fract_y
_atom_site_fract_z
Li1 0.000 0.000 0.000
Ca1 0.250 0.250 0.750
Rh1 0.250 0.250 0.250
# Energy of formation from the pure elements = 7.3 kJ per mole of atoms

***

no.,energy (eV/atom)
1,-2.20
2,-7.29
3,-1.13
4,-3.68